The following is a PBE calculation of an optimized crystal structure of Pm4Pd12Au, from Alexandria via LeMat-Bulk.

a b c (Å): 7.4858 7.4858 7.4858
angles (deg): 109.47 109.47 109.47
With the nearest neighbours (Å) after each atom.
Fractional coordinates of all 17 atoms:
Au1 0.0000 0.0000 0.0000  6 Pd 2.63
Pd1 0.6955 0.0000 0.6955  1 Au 2.63, 4 Pd 2.74
Pd2 0.3045 0.0000 0.3045  1 Au 2.63, 4 Pd 2.74
Pd3 0.0000 0.6955 0.6955  1 Au 2.63, 4 Pd 2.74
Pd4 0.7500 0.2500 0.5000  8 Pd 2.74-3.06, 4 Pm 3.06
Pd5 0.2500 0.7500 0.5000  8 Pd 2.74-3.06, 4 Pm 3.06
Pd6 0.5000 0.2500 0.7500  8 Pd 2.74-3.06, 4 Pm 3.06
Pd7 0.7500 0.5000 0.2500  8 Pd 2.74-3.06, 4 Pm 3.06
Pd8 0.6955 0.6955 0.0000  1 Au 2.63, 4 Pd 2.74
Pd9 0.3045 0.3045 0.0000  1 Au 2.63, 4 Pd 2.74
Pd10 0.5000 0.7500 0.2500  8 Pd 2.74-3.06, 4 Pm 3.06
Pd11 0.2500 0.5000 0.7500  8 Pd 2.74-3.06, 4 Pm 3.06
Pd12 0.0000 0.3045 0.3045  1 Au 2.63, 4 Pd 2.74
Pm1 0.5000 0.5000 0.5000  12 Pd 3.06-3.09
Pm2 0.0000 0.5000 0.0000  12 Pd 3.06-3.09
Pm3 0.5000 0.0000 0.0000  12 Pd 3.06-3.09
Pm4 0.0000 0.0000 0.5000  12 Pd 3.06-3.09

**Crystal system**: cubic
**N(E_F)**: 1.43 states/eV/f.u.
**Formation energy from the elements**: -741 meV/atom


The following is a PBE calculation of an optimized crystal structure of Pm2PdAu8, from Alexandria via LeMat-Bulk.

a b c (Å): 5.2575 8.4909 6.8941
angles (deg): 122.92 116.82 80.78
With the nearest neighbours (Å) after each atom.
Fractional coordinates of all 11 atoms:
Au1 0.8237 0.6768 0.8423  6 Au 2.86-2.92, 1 Pd 2.92, 1 Pm 3.08
Au2 0.8715 0.9585 0.7436  5 Au 2.80-3.03, 2 Pd 2.93-3.05, 1 Pm 3.12
Au3 0.1285 0.0415 0.2564  5 Au 2.80-3.03, 2 Pd 2.93-3.05, 1 Pm 3.12
Au4 0.1763 0.3232 0.1577  6 Au 2.86-2.92, 1 Pd 2.92, 1 Pm 3.08
Au5 0.2755 0.5119 0.6912  6 Au 2.79-2.92
Au6 0.5977 0.7855 0.2075  1 Pd 2.74, 5 Au 2.79-3.03, 1 Pm 3.04
Au7 0.4023 0.2145 0.7925  1 Pd 2.74, 5 Au 2.79-3.03, 1 Pm 3.04
Au8 0.7245 0.4881 0.3088  6 Au 2.79-2.92
Pm1 0.2382 0.7575 0.4387  1 Pd 2.92, 8 Au 3.04-3.26
Pm2 0.7618 0.2425 0.5613  1 Pd 2.92, 8 Au 3.04-3.26
Pd1 0.5000 0.0000 0.0000  8 Au 2.74-3.05, 2 Pm 2.92

**Crystal system**: triclinic
**N(E_F)**: 4.00 states/eV/f.u.
**Formation energy from the elements**: -498 meV/atom


The following is a PBE calculation of an optimized crystal structure of Pm2Pd4Au5, from Alexandria via LeMat-Bulk.

a b c (Å): 5.4806 6.9368 6.9633
angles (deg): 77.62 66.55 67.05
With the nearest neighbours (Å) after each atom.
Fractional coordinates of all 11 atoms:
Pm1 0.7361 0.2645 0.2644  6 Pd 2.90-3.12
Pm2 0.2639 0.7355 0.7356  6 Pd 2.90-3.12
Au1 0.0000 0.5000 0.5000  4 Pd 2.73, 4 Au 2.89
Au2 0.2508 0.2096 0.7904  3 Au 2.74-2.89, 4 Pd 2.76-2.90
Au3 0.2497 0.7929 0.2071  3 Au 2.74-2.89, 4 Pd 2.75-2.90
Au4 0.7503 0.2071 0.7929  3 Au 2.74-2.89, 4 Pd 2.75-2.90
Au5 0.7492 0.7904 0.2096  3 Au 2.74-2.89, 4 Pd 2.76-2.90
Pd1 0.7527 0.9146 0.5796  5 Au 2.73-2.90, 1 Pm 2.90, 1 Pd 2.92
Pd2 0.7528 0.5797 0.9145  5 Au 2.73-2.90, 1 Pm 2.90, 1 Pd 2.92
Pd3 0.2473 0.0854 0.4204  5 Au 2.73-2.90, 1 Pm 2.90, 1 Pd 2.92
Pd4 0.2472 0.4203 0.0855  5 Au 2.73-2.90, 1 Pm 2.90, 1 Pd 2.92

**Crystal system**: triclinic
**N(E_F)**: 3.82 states/eV/f.u.
**Distance to the lowest polymorph of the same formula**: 0.00 kcal/mol of atoms
**Formation energy from the elements**: -521 meV/atom


The following is a PBE calculation of an optimized crystal structure of PmPdAu2, from Alexandria via LeMat-Bulk.

a b c (Å): 5.4401 7.8575 15.7316
angles (deg): 90.00 90.00 90.00
With the nearest neighbours (Å) after each atom.
Fractional coordinates of all 32 atoms:
Pm1 0.9595 0.7500 0.3576  3 Pd 2.92-3.08, 4 Au 3.25
Pm2 0.7702 0.2500 0.8952  3 Pd 2.94-2.98, 2 Au 3.22
Pm3 0.4595 0.2500 0.1424  3 Pd 2.92-3.08, 4 Au 3.25
Pm4 0.7298 0.2500 0.3952  3 Pd 2.94-2.98, 2 Au 3.22
Pm5 0.2702 0.7500 0.6048  3 Pd 2.94-2.98, 2 Au 3.22
Pm6 0.0405 0.2500 0.6424  3 Pd 2.92-3.08, 4 Au 3.25
Pm7 0.2298 0.7500 0.1048  3 Pd 2.94-2.98, 2 Au 3.22
Pm8 0.5405 0.7500 0.8576  3 Pd 2.92-3.08, 4 Au 3.25
Au1 0.2725 0.4445 0.9687  3 Pd 2.78-2.79, 2 Au 2.80-3.06
Au2 0.0615 0.5540 0.7819  3 Pd 2.72-2.79, 2 Au 3.02
Au3 0.9385 0.0540 0.2181  3 Pd 2.72-2.79, 2 Au 3.02
Au4 0.2275 0.0555 0.4687  3 Pd 2.78-2.79, 2 Au 2.80-3.06
Au5 0.7725 0.5555 0.5313  3 Pd 2.78-2.79, 2 Au 2.80-3.06
Au6 0.5615 0.0540 0.7181  3 Pd 2.72-2.79, 2 Au 3.02
Au7 0.2725 0.0555 0.9687  3 Pd 2.78-2.79, 2 Au 2.80-3.06
Au8 0.7725 0.9445 0.5313  3 Pd 2.78-2.79, 2 Au 2.80-3.06
Au9 0.2275 0.4445 0.4687  3 Pd 2.78-2.79, 2 Au 2.80-3.06
Au10 0.7275 0.9445 0.0313  3 Pd 2.78-2.79, 2 Au 2.80-3.06
Au11 0.4385 0.5540 0.2819  3 Pd 2.72-2.79, 2 Au 3.02
Au12 0.5615 0.4460 0.7181  3 Pd 2.72-2.79, 2 Au 3.02
Au13 0.4385 0.9460 0.2819  3 Pd 2.72-2.79, 2 Au 3.02
Au14 0.7275 0.5555 0.0313  3 Pd 2.78-2.79, 2 Au 2.80-3.06
Au15 0.9385 0.4460 0.2181  3 Pd 2.72-2.79, 2 Au 3.02
Au16 0.0615 0.9460 0.7819  3 Pd 2.72-2.79, 2 Au 3.02
Pd1 0.7260 0.7500 0.1791  6 Au 2.72-2.78, 2 Pm 2.94-2.98
Pd2 0.7740 0.7500 0.6791  6 Au 2.72-2.78, 2 Pm 2.94-2.98
Pd3 0.5367 0.2500 0.5708  6 Au 2.78-2.79, 3 Pm 2.92-2.96
Pd4 0.9633 0.2500 0.0708  6 Au 2.78-2.79, 3 Pm 2.92-2.96
Pd5 0.2740 0.2500 0.8209  6 Au 2.72-2.78, 2 Pm 2.94-2.98
Pd6 0.4633 0.7500 0.4292  6 Au 2.78-2.79, 3 Pm 2.92-2.96
Pd7 0.0367 0.7500 0.9292  6 Au 2.78-2.79, 3 Pm 2.92-2.96
Pd8 0.2260 0.2500 0.3209  6 Au 2.72-2.78, 2 Pm 2.94-2.98

**Crystal system**: orthorhombic
**N(E_F)**: 1.51 states/eV/f.u.
**Distance to the lowest polymorph of the same formula**: 0.27 kcal/mol of atoms
**Formation energy from the elements**: -697 meV/atom


The following is a PBE calculation of an optimized crystal structure of PmPd5Au2, from Alexandria via LeMat-Bulk.

a b c (Å): 3.9052 6.6480 6.6480
angles (deg): 72.34 72.92 72.92
With the nearest neighbours (Å) after each atom.
Fractional coordinates of all 8 atoms:
Au1 0.2740 0.2260 0.2260  7 Pd 2.64-2.77
Au2 0.7260 0.7740 0.7740  7 Pd 2.64-2.77
Pd1 0.3610 0.8213 0.4567  3 Au 2.64-2.77, 4 Pd 2.78-2.86
Pd2 0.3610 0.4567 0.8213  3 Au 2.64-2.77, 4 Pd 2.78-2.86
Pd3 0.6390 0.5433 0.1787  3 Au 2.64-2.77, 4 Pd 2.78-2.86
Pd4 0.0000 0.5000 0.5000  2 Au 2.74, 8 Pd 2.79
Pd5 0.6390 0.1787 0.5433  3 Au 2.64-2.77, 4 Pd 2.78-2.86
Pm1 0.0000 0.0000 0.0000  4 Au 2.99

**Crystal system**: orthorhombic
**N(E_F)**: 5.89 states/eV/f.u.
**Distance to the lowest polymorph of the same formula**: 4.15 kcal/mol of atoms
**Formation energy from the elements**: -250 meV/atom


The following is a PBE calculation of an optimized crystal structure of PmPd5Au6, from Alexandria via LeMat-Bulk.

a b c (Å): 4.1885 8.1967 7.7270
angles (deg): 122.03 105.73 90.00
With the nearest neighbours (Å) after each atom.
Fractional coordinates of all 12 atoms:
Pd1 0.3286 0.3286 0.6572  8 Au 2.84-2.91, 4 Pd 2.94-2.99
Pd2 0.6619 0.1619 0.3238  8 Au 2.86-3.00, 2 Pm 2.90, 2 Pd 2.94
Pd3 0.6714 0.6714 0.3428  8 Au 2.84-2.91, 4 Pd 2.94-2.99
Pd4 0.3381 0.8381 0.6762  8 Au 2.86-3.00, 2 Pm 2.90, 2 Pd 2.94
Pd5 0.0000 0.5000 0.0000  8 Au 2.82-2.88, 4 Pd 2.99
Au1 0.8297 0.5685 0.6594  7 Pd 2.86-3.00, 4 Au 2.89-2.98, 1 Pm 3.01
Au2 0.5000 0.2698 0.0000  6 Pd 2.82-2.99, 4 Au 2.98, 2 Pm 3.05
Au3 0.1703 0.4315 0.3406  7 Pd 2.86-3.00, 4 Au 2.89-2.98, 1 Pm 3.01
Au4 0.8297 0.0909 0.6594  7 Pd 2.86-3.00, 4 Au 2.89-2.98, 1 Pm 3.01
Au5 0.5000 0.7302 0.0000  6 Pd 2.82-2.99, 4 Au 2.98, 2 Pm 3.05
Au6 0.1703 0.9091 0.3406  7 Pd 2.86-3.00, 4 Au 2.89-2.98, 1 Pm 3.01
Pm1 0.0000 0.0000 0.0000  4 Pd 2.90, 8 Au 3.01-3.05

**Crystal system**: orthorhombic
**N(E_F)**: 6.39 states/eV/f.u.
**Formation energy from the elements**: -287 meV/atom


The records above give, respectively, uncorrected energy values of -5.717; -4.218; -4.763; -4.822; -4.908; -4.486 eV/atom.
The records above give, respectively, total magnetization values of 0.00; 0.00; 0.00; 0.00; 0.00; 0.00 μB per formula unit.
The records above give, respectively, mass density values of 10562; 14297; 12657; 12749; 11610; 14486 kg/m³.